CuAsIrPt | PBE | relaxed

For the energy above the most stable polymorph in this dataset, the calculation gives 0.000 eV per atom. Its calculated volume is 14.928 A^3/atom. The space-group type is No. 216.

abc: 4.387 4.387 4.387
angles: 60.00 60.00 60.00
Fractional coordinates of all 4 atoms:
1 Cu 0.000 0.000 0.000
2 As 0.750 0.750 0.750
3 Ir 0.500 0.500 0.500
4 Pt 0.250 0.250 0.250

=====

RbIn2Hg2 | PBE | relaxed

Its calculated volume is 30.508 A^3/atom. The space-group type is No. 139. Its final energy is -7.73 eV/cell.

abc: 7.393 7.393 7.393
angles: 141.93 141.93 54.94
Fractional coordinates of all 5 atoms:
1 Rb 0.000 0.000 0.000
2 In 0.250 0.750 0.500
3 In 0.750 0.250 0.500
4 Hg 0.389 0.389 0.000
5 Hg 0.611 0.611 0.000

=====

SiTc2W | PBE | relaxed

Its calculated volume is 14.557 A^3/atom. The space-group type is No. 62. Its final energy is -158.46 eV/cell.

abc: 6.038 7.607 5.071
angles: 90.00 90.00 90.00
Fractional coordinates of all 16 atoms:
1 Si 0.109 0.250 0.103
2 Si 0.391 0.750 0.603
3 Si 0.609 0.250 0.397
4 Si 0.891 0.750 0.897
5 Tc 0.190 0.540 0.865
6 Tc 0.190 0.960 0.865
7 Tc 0.310 0.040 0.365
8 Tc 0.310 0.460 0.365
9 Tc 0.690 0.540 0.635
10 Tc 0.690 0.960 0.635
11 Tc 0.810 0.040 0.135
12 Tc 0.810 0.460 0.135
13 W 0.015 0.750 0.372
14 W 0.485 0.250 0.872
15 W 0.515 0.750 0.128
16 W 0.985 0.250 0.628